VASP calculation (PBE) on a relaxed structure of Hf3Te4.

Summary:
E (eV per cell): -95.13
Energy relative to the elements, uncorrected (eV per atom): -0.734
DOS(E_F) (states/eV/cell): 7.0

```
data_Hf3Te4
_chemical_formula_sum 'Hf6 Te8'
_cell_length_a 15.0714
_cell_length_b 3.8782
_cell_length_c 7.2968
_cell_angle_alpha 90.00
_cell_angle_beta 118.88
_cell_angle_gamma 90.00
_space_group_name_H-M_alt 'C 1 2/m 1'
_space_group_IT_number 12
_space_group_name_Hall '-C 2y'
loop_
_atom_site_label
_atom_site_type_symbol
_atom_site_fract_x
_atom_site_fract_y
_atom_site_fract_z
Hf1 Hf 0.0000 0.0000 0.0000
Hf2 Hf 0.2482 0.0000 0.3064
Te1 Te 0.1012 0.0000 0.4482
Te2 Te 0.1374 0.5000 0.9595
```

=====

VASP calculation (PBE) on a relaxed structure of HfThTe2.

Summary:
Energy relative to the lowest polymorph listed for this composition (kJ/mol of formula units): 0.0
E (eV per cell): -26.73
Energy relative to the elements, uncorrected (eV per atom): -0.767
DOS(E_F) (states/eV/cell): 2.4

```
data_HfThTe2
_chemical_formula_sum 'Hf1 Th1 Te2'
_cell_length_a 5.2218
_cell_length_b 5.2218
_cell_length_c 3.7571
_cell_angle_alpha 90.00
_cell_angle_beta 90.00
_cell_angle_gamma 90.00
_space_group_name_H-M_alt 'P 4/m m m'
_space_group_IT_number 123
_space_group_name_Hall '-P 4 2'
loop_
_atom_site_label
_atom_site_type_symbol
_atom_site_fract_x
_atom_site_fract_y
_atom_site_fract_z
Hf1 Hf 0.0000 0.0000 0.0000
Th1 Th 0.5000 0.5000 0.0000
Te1 Te 0.0000 0.5000 0.5000
```

=====

VASP calculation (PBE) on a relaxed structure of HfThTe.

Summary:
E (eV per cell): -21.28
Energy relative to the elements, uncorrected (eV per atom): -0.254
DOS(E_F) (states/eV/cell): 4.4

```
data_HfThTe
_chemical_formula_sum 'Hf1 Th1 Te1'
_cell_length_a 5.0381
_cell_length_b 5.0381
_cell_length_c 3.6932
_cell_angle_alpha 90.00
_cell_angle_beta 90.00
_cell_angle_gamma 120.00
_space_group_name_H-M_alt 'P -6 m 2'
_space_group_IT_number 187
_space_group_name_Hall 'P -6 2'
loop_
_atom_site_label
_atom_site_type_symbol
_atom_site_fract_x
_atom_site_fract_y
_atom_site_fract_z
Hf1 Hf 0.0000 0.0000 0.0000
Th1 Th 0.3333 0.6667 0.5000
Te1 Te 0.6667 0.3333 0.0000
```

=====

VASP calculation (PBE) on a relaxed structure of HfThTe2.

Summary:
Energy relative to the lowest polymorph listed for this composition (kJ/mol of formula units): 135.6
E (eV per cell): -75.96
Energy relative to the elements, uncorrected (eV per atom): -0.416
DOS(E_F) (states/eV/cell): 15.8

```
data_HfThTe2
_chemical_formula_sum 'Hf3 Th3 Te6'
_cell_length_a 3.7803
_cell_length_b 3.7803
_cell_length_c 30.3779
_cell_angle_alpha 90.00
_cell_angle_beta 90.00
_cell_angle_gamma 120.00
_space_group_name_H-M_alt 'R -3 m'
_space_group_IT_number 166
_space_group_name_Hall '-R 3 2"'
loop_
_atom_site_label
_atom_site_type_symbol
_atom_site_fract_x
_atom_site_fract_y
_atom_site_fract_z
Hf1 Hf 0.0000 0.0000 0.0000
Th1 Th 0.0000 0.0000 0.5000
Te1 Te 0.0000 0.0000 0.3949
```

=====

VASP calculation (PBE) on a relaxed structure of HfTh2Te.

Summary:
E (eV per cell): -85.58
Energy relative to the elements, uncorrected (eV per atom): -0.148
DOS(E_F) (states/eV/cell): 14.8

```
data_HfTh2Te
_chemical_formula_sum 'Hf3 Th6 Te3'
_cell_length_a 3.7057
_cell_length_b 3.7057
_cell_length_c 30.4427
_cell_angle_alpha 90.00
_cell_angle_beta 90.00
_cell_angle_gamma 120.00
_space_group_name_H-M_alt 'R -3 m'
_space_group_IT_number 166
_space_group_name_Hall '-R 3 2"'
loop_
_atom_site_label
_atom_site_type_symbol
_atom_site_fract_x
_atom_site_fract_y
_atom_site_fract_z
Hf1 Hf 0.0000 0.0000 0.0000
Th1 Th 0.0000 0.0000 0.2470
Te1 Te 0.0000 0.0000 0.5000
```

=====

VASP calculation (PBE) on a relaxed structure of HfTh2Te6.

Summary:
E (eV per cell): -103.53
Energy relative to the elements, uncorrected (eV per atom): -0.902
DOS(E_F) (states/eV/cell): 0.0

```
data_HfTh2Te6
_chemical_formula_sum 'Hf2 Th4 Te12'
_cell_length_a 7.2475
_cell_length_b 7.2475
_cell_length_c 13.4015
_cell_angle_alpha 90.00
_cell_angle_beta 90.00
_cell_angle_gamma 90.00
_space_group_name_H-M_alt 'P 42/m n m'
_space_group_IT_number 136
_space_group_name_Hall '-P 4n 2n'
loop_
_atom_site_label
_atom_site_type_symbol
_atom_site_fract_x
_atom_site_fract_y
_atom_site_fract_z
Hf1 Hf 0.0000 0.0000 0.0000
Th1 Th 0.0000 0.0000 0.3314
Te1 Te 0.1943 0.1943 0.1532
Te2 Te 0.2095 0.2095 0.5000
```

=====

VASP calculation (PBE) on a relaxed structure of Hf2TiTe2.

Summary:
E (eV per cell): -144.66
Energy relative to the elements, uncorrected (eV per atom): -0.416
DOS(E_F) (states/eV/cell): 5.4

```
data_Hf2TiTe2
_chemical_formula_sum 'Hf8 Ti4 Te8'
_cell_length_a 3.7745
_cell_length_b 17.2671
_cell_length_c 6.9164
_cell_angle_alpha 90.00
_cell_angle_beta 90.00
_cell_angle_gamma 90.00
_space_group_name_H-M_alt 'C m c 21'
_space_group_IT_number 36
_space_group_name_Hall 'C 2c -2'
loop_
_atom_site_label
_atom_site_type_symbol
_atom_site_fract_x
_atom_site_fract_y
_atom_site_fract_z
Hf1 Hf 0.0000 0.0212 0.0000
Hf2 Hf 0.0000 0.1822 0.4496
Ti1 Ti 0.0000 0.4074 0.2009
Te1 Te 0.0000 0.1877 0.8867
Te2 Te 0.0000 0.4256 0.7885
```

=====

VASP calculation (PBE) on a relaxed structure of Hf3TiTe.

Summary:
Energy relative to the lowest polymorph listed for this composition (kJ/mol of formula units): 473.3
E (eV per cell): -36.12
Energy relative to the elements, uncorrected (eV per atom): 0.955
DOS(E_F) (states/eV/cell): 5.5

```
data_Hf3TiTe
_chemical_formula_sum 'Hf3 Ti1 Te1'
_cell_length_a 5.1592
_cell_length_b 5.1592
_cell_length_c 5.1592
_cell_angle_alpha 90.00
_cell_angle_beta 90.00
_cell_angle_gamma 90.00
_space_group_name_H-M_alt 'P m -3 m'
_space_group_IT_number 221
_space_group_name_Hall '-P 4 2 3'
loop_
_atom_site_label
_atom_site_type_symbol
_atom_site_fract_x
_atom_site_fract_y
_atom_site_fract_z
Hf1 Hf 0.0000 0.0000 0.5000
Ti1 Ti 0.5000 0.5000 0.5000
Te1 Te 0.0000 0.0000 0.0000
```

=====

VASP calculation (PBE) on a relaxed structure of HfTiTe3.

Summary:
Energy relative to the lowest polymorph listed for this composition (kJ/mol of formula units): 0.0
E (eV per cell): -61.98
Energy relative to the elements, uncorrected (eV per atom): -0.744
DOS(E_F) (states/eV/cell): 7.3

```
data_HfTiTe3
_chemical_formula_sum 'Hf2 Ti2 Te6'
_cell_length_a 7.1109
_cell_length_b 3.8887
_cell_length_c 9.9390
_cell_angle_alpha 90.00
_cell_angle_beta 104.39
_cell_angle_gamma 90.00
_space_group_name_H-M_alt 'P 1 21/m 1'
_space_group_IT_number 11
_space_group_name_Hall '-P 2yb'
loop_
_atom_site_label
_atom_site_type_symbol
_atom_site_fract_x
_atom_site_fract_y
_atom_site_fract_z
Hf1 Hf 0.2172 0.2500 0.0030
Ti1 Ti 0.3775 0.2500 0.3541
Te1 Te 0.0169 0.7500 0.8042
Te2 Te 0.2428 0.7500 0.5044
Te3 Te 0.4848 0.7500 0.1705
```

=====

VASP calculation (PBE) on a relaxed structure of Hf3TiTe8.

Summary:
E (eV per cell): -144.61
Energy relative to the elements, uncorrected (eV per atom): -0.785
DOS(E_F) (states/eV/cell): 8.8

```
data_Hf3TiTe8
_chemical_formula_sum 'Hf6 Ti2 Te16'
_cell_length_a 13.5810
_cell_length_b 7.8197
_cell_length_c 8.6977
_cell_angle_alpha 90.00
_cell_angle_beta 121.89
_cell_angle_gamma 90.00
_space_group_name_H-M_alt 'C 1 2/m 1'
_space_group_IT_number 12
_space_group_name_Hall '-C 2y'
loop_
_atom_site_label
_atom_site_type_symbol
_atom_site_fract_x
_atom_site_fract_y
_atom_site_fract_z
Hf1 Hf 0.0000 0.0000 0.0000
Hf2 Hf 0.2500 0.2500 0.0000
Ti1 Ti 0.0000 0.5000 0.0000
Te1 Te 0.0010 0.2560 0.7620
Te2 Te 0.2430 0.5000 0.2380
Te3 Te 0.2491 0.0000 0.2443
```

=====

VASP calculation (PBE) on a relaxed structure of HfTi3Te3.

Summary:
E (eV per cell): -275.58
Energy relative to the elements, uncorrected (eV per atom): -0.410
DOS(E_F) (states/eV/cell): 27.7

```
data_HfTi3Te3
_chemical_formula_sum 'Hf6 Ti18 Te18'
_cell_length_a 7.2881
_cell_length_b 7.2881
_cell_length_c 20.7434
_cell_angle_alpha 90.00
_cell_angle_beta 90.00
_cell_angle_gamma 120.00
_space_group_name_H-M_alt 'R -3'
_space_group_IT_number 148
_space_group_name_Hall '-R 3'
loop_
_atom_site_label
_atom_site_type_symbol
_atom_site_fract_x
_atom_site_fract_y
_atom_site_fract_z
Hf1 Hf 0.0000 0.0000 0.1722
Ti1 Ti 0.0178 0.2643 0.7067
Te1 Te 0.0257 0.4008 0.2409
```

=====

VASP calculation (PBE) on a relaxed structure of HfTi2Te2.

Summary:
E (eV per cell): -137.38
Energy relative to the elements, uncorrected (eV per atom): -0.464
DOS(E_F) (states/eV/cell): 18.1

```
data_HfTi2Te2
_chemical_formula_sum 'Hf4 Ti8 Te8'
_cell_length_a 7.9226
_cell_length_b 17.5734
_cell_length_c 4.7306
_cell_angle_alpha 90.00
_cell_angle_beta 126.58
_cell_angle_gamma 90.00
_space_group_name_H-M_alt 'C 1 2/c 1'
_space_group_IT_number 15
_space_group_name_Hall '-C 2yc'
loop_
_atom_site_label
_atom_site_type_symbol
_atom_site_fract_x
_atom_site_fract_y
_atom_site_fract_z
Hf1 Hf 0.0000 0.0711 0.2500
Ti1 Ti 0.2129 0.4492 0.9606
Te1 Te 0.0000 0.1750 0.7500
Te2 Te 0.0000 0.4000 0.2500
```